Entry 1:
Computed, not measured: a relaxed Tb12Nd5Sc2 crystal at the GGA-PBE level of DFT.

The value obtained for the formation energy is 4.00 kcal/mol of atoms.

It has space group C2/m (No. 12), with a = 18.806 Å, b = 7.271 Å, c = 9.960 Å, α = 90.00°, β = 113.97° and γ = 90.00°. The asymmetric unit holds Tb at (0.004, 0.000, 0.314), Tb at (0.012, 0.500, 0.213), Tb at (0.158, 0.251, 0.857), Tb at (0.163, 0.254, 0.503), Nd at (0.000, 0.500, 0.500), Nd at (0.179, 0.000, 0.201), Nd at (0.183, 0.500, 0.183) and Sc at (0.000, 0.198, 0.000).


Entry 2:
Computed, not measured: a relaxed Tb2Nd7Sc2 crystal at the GGA-PBE level of DFT.

The value obtained for the formation energy is 3.36 kcal/mol of atoms. For the relative energy among the computed polymorphs, the calculation gives 0.12 eV/f.u.

It has space group C2/m (No. 12), with a = 11.003 Å, b = 11.589 Å, c = 6.124 Å, α = 90.00°, β = 111.39° and γ = 90.00°. The asymmetric unit holds Tb at (0.211, 0.000, 0.083), Nd at (0.000, 0.000, 0.500), Nd at (0.078, 0.500, 0.296), Nd at (0.181, 0.239, 0.691) and Sc at (0.000, 0.225, 0.000).


Entry 3:
Computed, not measured: a relaxed Tb3Nd5Sc crystal at the GGA-PBE level of DFT.

The value obtained for the formation energy is 12.67 kcal/mol of atoms.

It has space group C2/m (No. 12), with a = 11.445 Å, b = 11.527 Å, c = 11.419 Å, α = 90.00°, β = 115.65° and γ = 90.00°. The asymmetric unit holds Tb at (0.000, 0.000, 0.000), Tb at (0.000, 0.000, 0.500), Tb at (0.124, 0.500, 0.158), Tb at (0.202, 0.000, 0.343), Nd at (0.000, 0.254, 0.000), Nd at (0.031, 0.500, 0.380), Nd at (0.193, 0.233, 0.650), Nd at (0.196, 0.500, 0.911) and Sc at (0.092, 0.000, 0.795).


Entry 4:
Computed, not measured: a relaxed Tb5NdSc5 crystal at the GGA-PBE level of DFT.

The value obtained for the formation energy is 5.43 kcal/mol of atoms.

It has space group P-6m2 (No. 187), with a = 5.8095 Å, b = 5.8095 Å, c = 11.4000 Å, α = 90.00°, β = 90.00° and γ = 120.00°. The asymmetric unit holds Tb at (0.0000, 0.0000, 0.0000), Tb at (0.3333, 0.6667, 0.3229), Tb at (0.6667, 0.3333, 0.1614), Nd at (0.3333, 0.6667, 0.0000), Sc at (0.0000, 0.0000, 0.2698) and Sc at (0.3282, 0.1641, 0.5000).


Entry 5:
Computed, not measured: a relaxed TbNd6Sc3 crystal at the GGA-PBE level of DFT.

The value obtained for the formation energy is 4.05 kcal/mol of atoms.

It has space group R32 (No. 155, hexagonal axes), with a = 9.7794 Å, b = 9.7794 Å, c = 11.6601 Å, α = 90.00°, β = 90.00° and γ = 120.00°. The asymmetric unit holds Tb at (0.0000, 0.0000, 0.0000), Nd at (0.0000, 0.3375, 0.0000), Nd at (0.0000, 0.6663, 0.5000), Sc at (0.0000, 0.0000, 0.2581) and Sc at (0.0000, 0.0000, 0.5000).


Entry 6:
Computed, not measured: a relaxed Tb15Nd4Sc crystal at the GGA-PBE level of DFT.

The value obtained for the formation energy is 0.53 kcal/mol of atoms.

It has space group P4/mmm (No. 123), with a = 5.057 Å, b = 5.057 Å, c = 25.196 Å, α = 90.00°, β = 90.00° and γ = 90.00°. The asymmetric unit holds Tb at (0.000, 0.000, 0.000), Tb at (0.000, 0.000, 0.197), Tb at (0.000, 0.000, 0.399), Tb at (0.000, 0.500, 0.095), Tb at (0.000, 0.500, 0.298), Tb at (0.000, 0.500, 0.500), Nd at (0.500, 0.500, 0.197), Nd at (0.500, 0.500, 0.399) and Sc at (0.500, 0.500, 0.000).


Entry 7:
Computed, not measured: a relaxed Tb5Nd6Sc crystal at the GGA-PBE level of DFT.

The value obtained for the formation energy is 0.57 kcal/mol of atoms.

It has space group Immm (No. 71), with a = 5.113 Å, b = 10.085 Å, c = 15.302 Å, α = 90.00°, β = 90.00° and γ = 90.00°. The asymmetric unit holds Tb at (0.000, 0.000, 0.000), Tb at (0.000, 0.000, 0.335), Tb at (0.000, 0.500, 0.334), Nd at (0.000, 0.246, 0.500), Nd at (0.000, 0.252, 0.165) and Sc at (0.000, 0.500, 0.000).


Entry 8:
Computed, not measured: a relaxed Tb5NdSc4 crystal at the GGA-PBE level of DFT.

The value obtained for the formation energy is 7.71 kcal/mol of atoms. For the relative energy among the computed polymorphs, the calculation gives 0.56 eV/f.u.

It has space group I4 (No. 79), with a = 9.850 Å, b = 9.850 Å, c = 6.194 Å, α = 90.00°, β = 90.00° and γ = 90.00°. The asymmetric unit holds Tb at (0.000, 0.000, 0.000), Tb at (0.147, 0.246, 0.728), Nd at (0.000, 0.000, 0.456) and Sc at (0.057, 0.359, 0.226).


Entry 9:
Computed, not measured: a relaxed Tb10Nd4Sc crystal at the GGA-PBE level of DFT.

The value obtained for the formation energy is 5.68 kcal/mol of atoms.

It has space group I4/mmm (No. 139), with a = 11.400 Å, b = 11.400 Å, c = 7.726 Å, α = 90.00°, β = 90.00° and γ = 90.00°. The asymmetric unit holds Tb at (0.000, 0.208, 0.213), Tb at (0.000, 0.500, 0.250), Nd at (0.230, 0.230, 0.500) and Sc at (0.000, 0.000, 0.500).


Entry 10:
Computed, not measured: a relaxed Tb4Nd2Sc crystal at the GGA-PBE level of DFT.

The value obtained for the formation energy is 12.79 kcal/mol of atoms. For the relative energy among the computed polymorphs, the calculation gives 2.56 eV/f.u.

It has space group I4/mmm (No. 139), with a = 5.382 Å, b = 5.382 Å, c = 17.409 Å, α = 90.00°, β = 90.00° and γ = 90.00°. The asymmetric unit holds Tb at (0.000, 0.000, 0.175), Tb at (0.000, 0.500, 0.000), Nd at (0.000, 0.000, 0.374) and Sc at (0.000, 0.000, 0.000).


Entry 11:
Computed, not measured: a relaxed TbNd8Sc2 crystal at the GGA-PBE level of DFT.

The value obtained for the formation energy is 3.60 kcal/mol of atoms. For the relative energy among the computed polymorphs, the calculation gives 0.37 eV/f.u.

It has space group C2/m (No. 12), with a = 9.051 Å, b = 16.200 Å, c = 5.913 Å, α = 90.00°, β = 122.04° and γ = 90.00°. The asymmetric unit holds Tb at (0.000, 0.000, 0.000), Nd at (0.000, 0.208, 0.000), Nd at (0.080, 0.500, 0.794), Nd at (0.216, 0.120, 0.672) and Sc at (0.000, 0.310, 0.500).


Entry 12:
Computed, not measured: a relaxed Tb2Nd3Sc crystal at the GGA-PBE level of DFT.

The value obtained for the formation energy is 0.91 kcal/mol of atoms. For the relative energy among the computed polymorphs, the calculation gives 0.00 eV/f.u.

It has space group P-1 (No. 2), with a = 6.186 Å, b = 7.980 Å, c = 8.768 Å, α = 68.39°, β = 89.86° and γ = 74.95°. The asymmetric unit holds Tb at (0.048, 0.117, 0.296), Tb at (0.294, 0.880, 0.039), Nd at (0.127, 0.372, 0.874), Nd at (0.207, 0.626, 0.458), Nd at (0.460, 0.363, 0.215) and Sc at (0.377, 0.120, 0.624).


The records above give, respectively, magnetization values of 0.001 0.000 0.000 2.538 0.485 0.000 0.000 0.012 0.001 1.864 0.000 0.000 Bohr magnetons per cell.